Record 1
Entry from Alexandria: crystalline Pm6Sm2Y3Sc at its relaxed geometry (GGA-PBE).

```
data_Pm6Sm2Y3Sc
_chemical_formula_sum 'Pm6 Sm2 Y3 Sc1'
_cell_length_a 6.238
_cell_length_b 6.238
_cell_length_c 11.852
_cell_angle_alpha 95.02
_cell_angle_beta 95.02
_cell_angle_gamma 119.99
_symmetry_space_group_name_H-M 'P 1'
_symmetry_Int_Tables_number 1
_symmetry_space_group_name_Hall 'P 1'
loop_
_atom_site_label
_atom_site_type_symbol
_atom_site_fract_x
_atom_site_fract_y
_atom_site_fract_z
_atom_site_occupancy
Pm1 Pm 0.082 0.412 0.248 1
Pm2 Pm 0.248 0.248 0.751 1
Pm3 Pm 0.412 0.082 0.248 1
Pm4 Pm 0.588 0.918 0.752 1
Pm5 Pm 0.752 0.752 0.249 1
Pm6 Pm 0.918 0.588 0.752 1
Sm1 Sm 0.333 0.667 0.000 1
Sm2 Sm 0.667 0.333 0.000 1
Y1 Y 0.166 0.834 0.500 1
Y2 Y 0.500 0.500 0.500 1
Y3 Y 0.834 0.166 0.500 1
Sc1 Sc 0.000 0.000 0.000 1
```

Computed properties:
The value obtained for the volume is 393 Å³/cell. The energy of formation from the pure elements comes out at 0.0234 eV/atom. The total energy is -63.38 eV per formula unit. The magnetization is 0.000 Bohr magnetons per cell.

Record 2
Entry from Alexandria: crystalline NaZn2Cu2 at its relaxed geometry (GGA-PBE).

```
data_NaZn2Cu2
_chemical_formula_sum 'Na2 Zn4 Cu4'
_cell_length_a 7.529
_cell_length_b 7.529
_cell_length_c 2.692
_cell_angle_alpha 90.00
_cell_angle_beta 90.00
_cell_angle_gamma 90.00
_symmetry_space_group_name_H-M 'P 1'
_symmetry_Int_Tables_number 1
_symmetry_space_group_name_Hall 'P 1'
loop_
_atom_site_label
_atom_site_type_symbol
_atom_site_fract_x
_atom_site_fract_y
_atom_site_fract_z
_atom_site_occupancy
Na1 Na 0.000 0.000 0.000 1
Na2 Na 0.500 0.500 0.000 1
Zn1 Zn 0.172 0.328 0.500 1
Zn2 Zn 0.328 0.828 0.500 1
Zn3 Zn 0.672 0.172 0.500 1
Zn4 Zn 0.828 0.672 0.500 1
Cu1 Cu 0.122 0.622 0.000 1
Cu2 Cu 0.378 0.122 0.000 1
Cu3 Cu 0.622 0.878 0.000 1
Cu4 Cu 0.878 0.378 0.000 1
```

Computed properties:
The value obtained for the volume is 153 Å³/cell. The energy of formation from the pure elements comes out at -0.0242 eV/atom. The total energy is -12.18 eV per formula unit. The magnetization is 0.000 Bohr magnetons per cell. The energy relative to the lowest polymorph listed for this composition comes out at 0.0000 eV per atom.

Record 3
Entry from Alexandria: crystalline Pm2YPu at its relaxed geometry (GGA-PBE).

```
data_Pm2YPu
_chemical_formula_sum 'Pm2 Y1 Pu1'
_cell_length_a 11.715
_cell_length_b 11.715
_cell_length_c 11.715
_cell_angle_alpha 17.70
_cell_angle_beta 17.70
_cell_angle_gamma 17.70
_symmetry_space_group_name_H-M 'P 1'
_symmetry_Int_Tables_number 1
_symmetry_space_group_name_Hall 'P 1'
loop_
_atom_site_label
_atom_site_type_symbol
_atom_site_fract_x
_atom_site_fract_y
_atom_site_fract_z
_atom_site_occupancy
Pm1 Pm 0.000 0.000 0.000 1
Pm2 Pm 0.170 0.170 0.170 1
Y1 Y 0.418 0.418 0.418 1
Pu1 Pu 0.585 0.585 0.585 1
```

Computed properties:
The value obtained for the volume is 130 Å³/cell. The energy of formation from the pure elements comes out at 0.1160 eV/atom. The total energy is -29.83 eV per formula unit. The magnetization is 6.006 Bohr magnetons per cell. The energy relative to the lowest polymorph listed for this composition comes out at 0.0062 eV per atom.

Record 4
Entry from Alexandria: crystalline La2CrP at its relaxed geometry (GGA-PBE).

```
data_La2CrP
_chemical_formula_sum 'La2 Cr1 P1'
_cell_length_a 7.895
_cell_length_b 7.895
_cell_length_c 7.895
_cell_angle_alpha 29.86
_cell_angle_beta 29.86
_cell_angle_gamma 29.86
_symmetry_space_group_name_H-M 'P 1'
_symmetry_Int_Tables_number 1
_symmetry_space_group_name_Hall 'P 1'
loop_
_atom_site_label
_atom_site_type_symbol
_atom_site_fract_x
_atom_site_fract_y
_atom_site_fract_z
_atom_site_occupancy
La1 La 0.000 0.000 0.000 1
La2 La 0.173 0.173 0.173 1
Cr1 Cr 0.754 0.754 0.754 1
P1 P 0.420 0.420 0.420 1
```

Computed properties:
The value obtained for the volume is 108 Å³/cell. The energy of formation from the pure elements comes out at -0.4482 eV/atom. The total energy is -26.68 eV per formula unit. The magnetization is 1.173 Bohr magnetons per cell.

Record 5
Entry from Alexandria: crystalline Tl4InBi3S8 at its relaxed geometry (GGA-PBE).

```
data_Tl4InBi3S8
_chemical_formula_sum 'Tl4 In1 Bi3 S8'
_cell_length_a 8.824
_cell_length_b 8.824
_cell_length_c 8.824
_cell_angle_alpha 55.32
_cell_angle_beta 55.32
_cell_angle_gamma 55.32
_symmetry_space_group_name_H-M 'P 1'
_symmetry_Int_Tables_number 1
_symmetry_space_group_name_Hall 'P 1'
loop_
_atom_site_label
_atom_site_type_symbol
_atom_site_fract_x
_atom_site_fract_y
_atom_site_fract_z
_atom_site_occupancy
Tl1 Tl 0.000 0.000 0.000 1
Tl2 Tl 0.000 0.500 0.500 1
Tl3 Tl 0.500 0.000 0.500 1
Tl4 Tl 0.500 0.500 0.000 1
In1 In 0.500 0.500 0.500 1
Bi1 Bi 0.000 0.000 0.500 1
Bi2 Bi 0.000 0.500 0.000 1
Bi3 Bi 0.500 0.000 0.000 1
S1 S 0.237 0.237 0.237 1
S2 S 0.249 0.727 0.727 1
S3 S 0.273 0.273 0.751 1
S4 S 0.273 0.751 0.273 1
S5 S 0.727 0.249 0.727 1
S6 S 0.727 0.727 0.249 1
S7 S 0.751 0.273 0.273 1
S8 S 0.763 0.763 0.763 1
```

Computed properties:
The value obtained for the volume is 433 Å³/cell. The total energy is -63.82 eV per formula unit. The magnetization is 0.000 Bohr magnetons per cell. As for the raw formation energy: -0.435 eV per atom.

Record 6
Entry from Alexandria: crystalline BaIn2Pt at its relaxed geometry (GGA-PBE).

```
data_BaIn2Pt
_chemical_formula_sum 'Ba1 In2 Pt1'
_cell_length_a 4.538
_cell_length_b 4.538
_cell_length_c 5.397
_cell_angle_alpha 90.00
_cell_angle_beta 90.00
_cell_angle_gamma 90.00
_symmetry_space_group_name_H-M 'P 1'
_symmetry_Int_Tables_number 1
_symmetry_space_group_name_Hall 'P 1'
loop_
_atom_site_label
_atom_site_type_symbol
_atom_site_fract_x
_atom_site_fract_y
_atom_site_fract_z
_atom_site_occupancy
Ba1 Ba 0.000 0.000 0.000 1
In1 In 0.000 0.500 0.500 1
In2 In 0.500 0.000 0.500 1
Pt1 Pt 0.500 0.500 0.000 1
```

Computed properties:
The value obtained for the volume is 111 Å³/cell. The energy of formation from the pure elements comes out at -0.2533 eV/atom. The total energy is -14.45 eV per formula unit. The magnetization is 0.000 Bohr magnetons per cell.

Record 7
Entry from Alexandria: crystalline Sr2LiY at its relaxed geometry (GGA-PBE).

```
data_Sr2LiY
_chemical_formula_sum 'Sr2 Li1 Y1'
_cell_length_a 3.908
_cell_length_b 3.908
_cell_length_c 10.350
_cell_angle_alpha 90.00
_cell_angle_beta 90.00
_cell_angle_gamma 90.00
_symmetry_space_group_name_H-M 'P 1'
_symmetry_Int_Tables_number 1
_symmetry_space_group_name_Hall 'P 1'
loop_
_atom_site_label
_atom_site_type_symbol
_atom_site_fract_x
_atom_site_fract_y
_atom_site_fract_z
_atom_site_occupancy
Sr1 Sr 0.000 0.000 0.233 1
Sr2 Sr 0.000 0.000 0.767 1
Li1 Li 0.500 0.500 0.000 1
Y1 Y 0.500 0.500 0.500 1
```

Computed properties:
The value obtained for the volume is 158 Å³/cell. The energy of formation from the pure elements comes out at 0.1570 eV/atom. The total energy is -11.11 eV per formula unit. The magnetization is 0.959 Bohr magnetons per cell. The energy relative to the lowest polymorph listed for this composition comes out at 0.0194 eV per atom.

Record 8
Entry from Alexandria: crystalline Pb5Se at its relaxed geometry (GGA-PBE).

```
data_Pb5Se
_chemical_formula_sum 'Pb5 Se1'
_cell_length_a 8.871
_cell_length_b 8.871
_cell_length_c 5.520
_cell_angle_alpha 90.00
_cell_angle_beta 90.00
_cell_angle_gamma 155.33
_symmetry_space_group_name_H-M 'P 1'
_symmetry_Int_Tables_number 1
_symmetry_space_group_name_Hall 'P 1'
loop_
_atom_site_label
_atom_site_type_symbol
_atom_site_fract_x
_atom_site_fract_y
_atom_site_fract_z
_atom_site_occupancy
Pb1 Pb 0.000 0.000 0.000 1
Pb2 Pb 0.146 0.854 0.500 1
Pb3 Pb 0.327 0.673 0.000 1
Pb4 Pb 0.673 0.327 0.000 1
Pb5 Pb 0.854 0.146 0.500 1
Se1 Se 0.500 0.500 0.500 1
```

Computed properties:
The value obtained for the volume is 181 Å³/cell. The total energy is -22.35 eV per formula unit. The magnetization is 0.000 Bohr magnetons per cell. As for the raw formation energy: -0.054 eV per atom. The energy relative to the lowest polymorph listed for this composition comes out at 0.0099 eV per atom.